[1]
Ti2VCuRh | PBE | optimized geometry

Results
The space-group type is P4/mmm. The total energy comes out at -6.464 eV per atom. The formation energy comes out at 77.9 kJ/mol of atoms.

```
Ti2VCuRh
1.0
-2.321 0.046 -3.644
1.563 -4.069 -1.047
-3.318 -1.813 2.091
Cu Ti Rh V
1 2 1 1
Cartesian
0.782 -2.035 -0.523
-1.659 -0.906 1.045
-1.160 0.023 -1.822
-2.038 -2.918 -1.300
0.000 0.000 0.000
```


[2]
Cu2SiTe | PBE | optimized geometry

Results
As for the energy above the lowest structure with this stoichiometry: 0.101 eV per atom. The space-group type is C2/m. The total energy comes out at -4.023 eV per atom. The uncorrected formation energy is 0.166 eV/atom.

```
Cu2SiTe
1.0
4.094 -0.034 -0.007
2.627 3.140 -0.007
1.206 0.557 5.323
Cu Si Te
2 1 1
Cartesian
6.713 3.103 0.371
3.972 1.836 2.270
1.982 0.916 1.327
5.945 2.748 3.982
```